# 1
The following is a DFT calculation (PBE) of a relaxed structure of K2BaIr.

Results
DOS at the Fermi energy ... 8.7 states/eV per cell
Formation energy from the elements ... 0.598 eV per atom
ΔE to the lowest computed polymorph ... 1.16 eV/f.u.
Crystal system ... tetragonal
Calculated density ... 4.7 Mg/m³
Space group ... I-42d, No. 122

Cell: 4.7525 4.7525 13.1829 Å, 79.62 79.62 90.00°
With the nearest neighbours (Å) after each atom.
Sites, in units of the cell vectors:
K: 0.3750 0.3404 0.7500  2 K 3.14
K: 0.8750 0.9096 0.7500  2 K 3.14
K: 0.0904 0.6250 0.2500  2 K 3.14
K: 0.6596 0.1250 0.2500  2 K 3.14
Ba: 0.5000 0.5000 0.0000  4 Ir 3.36, 4 K 3.66
Ba: 0.2500 0.7500 0.5000  4 Ir 3.36, 4 K 3.66
Ir: 0.7500 0.2500 0.5000  4 Ba 3.36, 4 K 3.55
Ir: 0.0000 0.0000 0.0000  4 Ba 3.36, 4 K 3.55

***

# 2
The following is a DFT calculation (PBE) of a relaxed structure of Ca3Ni.

Results
DOS at the Fermi energy ... 5.7 states/eV per cell
Formation energy from the elements ... 0.281 eV per atom
Crystal system ... cubic
Calculated density ... 2.5 Mg/m³
Space group ... Pm-3n, No. 223

Cell: 6.1742 6.1742 6.1742 Å, 90.00 90.00 90.00°
With the nearest neighbours (Å) after each atom.
Sites, in units of the cell vectors:
Ni: 0.5000 0.5000 0.5000  12 Ca 3.45
Ni: 0.0000 0.0000 0.0000  12 Ca 3.45
Ca: 0.0000 0.2500 0.5000  2 Ca 3.09, 4 Ni 3.45
Ca: 0.0000 0.7500 0.5000  2 Ca 3.09, 4 Ni 3.45
Ca: 0.5000 0.0000 0.2500  2 Ca 3.09, 4 Ni 3.45
Ca: 0.7500 0.5000 0.0000  2 Ca 3.09, 4 Ni 3.45
Ca: 0.5000 0.0000 0.7500  2 Ca 3.09, 4 Ni 3.45
Ca: 0.2500 0.5000 0.0000  2 Ca 3.09, 4 Ni 3.45

***

# 3
The following is a DFT calculation (PBE) of a relaxed structure of TaReI2N.

Results
Energy relative to the elements, uncorrected ... 1.2331 eV per atom
DOS at the Fermi energy ... 2.0 states/eV per cell
ΔE to the lowest computed polymorph ... 0.32 eV/f.u.
Crystal system ... tetragonal
Calculated density ... 8.2 Mg/m³
Space group ... P4/mmm, No. 123

Cell: 5.7147 5.7147 3.9179 Å, 90.00 90.00 90.00°
With the nearest neighbours (Å) after each atom.
Sites, in units of the cell vectors:
I: 0.0000 0.5000 0.0000  2 Ta 2.86
I: 0.5000 0.0000 0.0000  2 Ta 2.86
Ta: 0.0000 0.0000 0.0000  2 N 1.96
Re: 0.5000 0.5000 0.5000  8 I 3.46
N: 0.0000 0.0000 0.5000  2 Ta 1.96

***

no.,magnetic moment (μB/f.u.)
1,0.00
2,0.00
3,5.19